A plane-wave DFT calculation with PBE+U was carried out for crystalline CrO2F at its relaxed geometry.

It has space group I-42d (No. 122), with a = 5.391 Å, b = 5.391 Å, c = 7.976 Å, α = 90.00°, β = 90.00° and γ = 90.00°. The inequivalent atoms are Cr at (0.000, 0.000, 0.000), O at (0.100, 0.250, 0.125) and F at (0.000, 0.000, 0.500).

Its total energy is -92.73 eV for the cell shown. The total magnetization comes out at 0.2500 μB per atom.